A crystal of YSeBr2 relaxed with PBEsol. Source: the Alexandria database, functional SCAN.

Geometry as POSCAR:
```
YSeBr2
1.0
5.527 0.000 0.000
2.763 6.934 0.000
2.763 0.000 6.934
Y Se Br
2 2 4
Direct
0.750 0.500 0.500 Y
0.000 0.000 0.000 Y
0.250 0.500 0.500 Se
0.500 0.000 0.000 Se
0.993 0.132 0.632 Br
0.757 0.868 0.368 Br
0.375 0.632 0.868 Br
0.875 0.368 0.132 Br
```

Summary:
ΔE_f (raw), meV/atom: -1414.5
Symmetry: No. 122


A crystal of RbPO3 relaxed with PBEsol. Source: the Alexandria database, functional SCAN.

Geometry as POSCAR:
```
RbPO3
1.0
-3.159 1.573 6.731
8.650 -6.886 2.945
7.456 9.875 1.190
P O Rb
12 36 12
Direct
0.228 0.832 0.443 P
0.371 0.659 0.568 P
0.772 0.168 0.557 P
0.570 0.319 0.667 P
0.728 0.332 0.057 P
0.272 0.668 0.943 P
0.129 0.841 0.068 P
0.629 0.341 0.432 P
0.930 0.181 0.167 P
0.871 0.159 0.932 P
0.070 0.819 0.833 P
0.430 0.681 0.333 P
0.048 0.752 0.424 O
0.102 0.210 0.229 O
0.508 0.671 0.655 O
0.775 0.089 0.208 O
0.760 0.036 0.551 O
0.492 0.329 0.345 O
0.740 0.464 0.051 O
0.602 0.710 0.271 O
0.725 0.411 0.708 O
0.898 0.790 0.771 O
0.129 0.691 0.852 O
0.240 0.964 0.449 O
0.703 0.064 0.926 O
0.629 0.191 0.648 O
0.371 0.809 0.352 O
0.952 0.248 0.576 O
0.275 0.589 0.292 O
0.548 0.252 0.076 O
0.679 0.209 0.449 O
0.978 0.148 0.045 O
0.797 0.436 0.426 O
0.821 0.291 0.949 O
0.478 0.648 0.455 O
0.871 0.309 0.148 O
0.022 0.852 0.955 O
0.297 0.936 0.074 O
0.179 0.709 0.051 O
0.321 0.791 0.551 O
0.260 0.536 0.949 O
0.992 0.829 0.155 O
0.452 0.748 0.924 O
0.398 0.290 0.729 O
0.008 0.171 0.845 O
0.203 0.564 0.574 O
0.522 0.352 0.545 O
0.225 0.911 0.792 O
0.905 0.596 0.244 Rb
0.153 0.379 0.418 Rb
0.149 0.076 0.641 Rb
0.653 0.879 0.082 Rb
0.851 0.924 0.359 Rb
0.649 0.576 0.859 Rb
0.347 0.121 0.918 Rb
0.095 0.404 0.756 Rb
0.595 0.904 0.744 Rb
0.847 0.621 0.582 Rb
0.405 0.096 0.256 Rb
0.351 0.424 0.141 Rb
```

Summary:
ΔE_f (raw), meV/atom: -2492.2
Symmetry: No. 14


A crystal of NaBi2AuO5 relaxed with PBEsol. Source: the Alexandria database, functional SCAN.

Geometry as POSCAR:
```
NaBi2AuO5
1.0
3.566 0.000 0.000
0.000 12.348 0.000
0.000 0.000 12.348
Na Bi Au O
4 8 4 20
Direct
0.500 0.301 0.801 Na
0.500 0.801 0.699 Na
0.500 0.699 0.199 Na
0.500 0.199 0.301 Na
0.000 0.049 0.769 Bi
0.000 0.269 0.549 Bi
0.000 0.769 0.951 Bi
0.000 0.451 0.269 Bi
0.000 0.951 0.231 Bi
0.000 0.549 0.731 Bi
0.000 0.231 0.049 Bi
0.000 0.731 0.451 Bi
0.500 0.000 0.500 Au
0.500 0.000 0.000 Au
0.500 0.500 0.500 Au
0.500 0.500 0.000 Au
0.500 0.504 0.161 O
0.000 0.213 0.713 O
0.500 0.114 0.116 O
0.500 0.614 0.384 O
0.500 0.339 0.996 O
0.500 0.161 0.496 O
0.500 0.884 0.114 O
0.500 0.496 0.839 O
0.500 0.996 0.661 O
0.000 0.287 0.213 O
0.000 0.787 0.287 O
0.500 0.839 0.504 O
0.500 0.616 0.614 O
0.500 0.386 0.616 O
0.500 0.384 0.386 O
0.500 0.116 0.886 O
0.000 0.713 0.787 O
0.500 0.886 0.884 O
0.500 0.004 0.339 O
0.500 0.661 0.004 O
```

Summary:
ΔE_f (raw), meV/atom: -1056.8
Symmetry: No. 127


A crystal of SbPCCl2 relaxed with PBEsol. Source: the Alexandria database, functional SCAN.

Geometry as POSCAR:
```
SbPCCl2
1.0
4.263 0.000 0.000
0.000 4.263 0.000
0.000 0.000 4.454
Sb C P Cl
1 1 1 2
Direct
0.500 0.500 0.500 Sb
0.000 0.000 0.000 C
0.000 0.000 0.500 P
0.000 0.500 0.000 Cl
0.500 0.000 0.000 Cl
```

Summary:
ΔE_f (raw), meV/atom: 1082.3
Symmetry: No. 123


A crystal of CsGePb3 relaxed with PBEsol. Source: the Alexandria database, functional SCAN.

Geometry as POSCAR:
```
CsGePb3
1.0
5.675 0.000 0.000
0.000 5.675 0.000
0.000 0.000 5.675
Pb Cs Ge
3 1 1
Direct
0.000 0.500 0.000 Pb
0.000 0.000 0.500 Pb
0.500 0.000 0.000 Pb
0.500 0.500 0.500 Cs
0.000 0.000 0.000 Ge
```

Summary:
Formation enthalpy at 0 K, kcal/mol of atoms: 3.37
Symmetry: No. 221


A crystal of ZrCr2Pb relaxed with PBEsol. Source: the Alexandria database, functional SCAN.

Geometry as POSCAR:
```
ZrCr2Pb
1.0
-2.985 -0.550 0.371
0.706 -0.892 4.356
-0.457 5.180 1.135
Cr Pb Zr
2 1 1
Direct
0.636 0.000 0.673 Cr
0.364 0.000 0.327 Cr
0.500 0.500 0.000 Pb
0.000 0.500 0.500 Zr
```

Summary:
Formation enthalpy at 0 K, kcal/mol of atoms: 9.47
Symmetry: No. 10


A crystal of MgAgTe relaxed with PBEsol. Source: the Alexandria database, functional SCAN.

Geometry as POSCAR:
```
MgAgTe
1.0
3.503 0.000 0.000
-1.752 3.034 0.000
0.000 0.000 6.375
Ag Mg Te
1 1 1
Direct
0.000 0.000 0.986 Ag
0.333 0.667 0.685 Mg
0.667 0.333 0.329 Te
```

Summary:
ΔE_f (raw), meV/atom: -71.6
Symmetry: No. 156


A crystal of CoCu2Ru relaxed with PBEsol. Source: the Alexandria database, functional SCAN.

Geometry as POSCAR:
```
CoCu2Ru
1.0
-0.618 1.678 -1.658
-3.950 -2.211 -0.766
-0.313 3.161 3.315
Co Cu Ru
1 2 1
Direct
0.500 0.500 0.500 Co
0.000 0.500 0.000 Cu
0.000 0.000 0.500 Cu
0.500 0.000 0.000 Ru
```

Summary:
Formation enthalpy at 0 K, kcal/mol of atoms: 5.80
Symmetry: No. 65


A crystal of KScW relaxed with PBEsol. Source: the Alexandria database, functional SCAN.

Geometry as POSCAR:
```
KScW
1.0
2.882 -0.033 0.000
-0.654 2.807 0.000
-1.114 -1.387 8.668
K Sc W
1 1 1
Direct
0.011 0.011 0.022 K
0.305 0.305 0.610 Sc
0.684 0.684 0.368 W
```

Summary:
Formation enthalpy at 0 K, kcal/mol of atoms: 21.23
Symmetry: No. 42


A crystal of MoRuRh2 relaxed with PBEsol. Source: the Alexandria database, functional SCAN.

Geometry as POSCAR:
```
MoRuRh2
1.0
3.777 0.000 0.000
0.000 3.777 0.000
0.000 0.000 3.857
Ru Mo Rh
1 1 2
Direct
0.500 0.500 0.500 Ru
0.000 0.000 0.500 Mo
0.000 0.500 0.000 Rh
0.500 0.000 0.000 Rh
```

Summary:
Formation enthalpy at 0 K, kcal/mol of atoms: -3.78
Symmetry: No. 123


A crystal of KTlAs2 relaxed with PBEsol. Source: the Alexandria database, functional SCAN.

Geometry as POSCAR:
```
KTlAs2
1.0
-2.541 0.491 2.687
1.195 -3.101 1.696
4.992 4.095 3.972
As K Tl
2 1 1
Direct
0.000 0.000 0.055 As
0.500 0.500 0.168 As
0.000 0.000 0.475 K
0.500 0.500 0.802 Tl
```

Summary:
Formation enthalpy at 0 K, kcal/mol of atoms: -3.60
Symmetry: No. 99


A crystal of MnCo2Os relaxed with PBEsol. Source: the Alexandria database, functional SCAN.

Geometry as POSCAR:
```
MnCo2Os
1.0
2.566 0.000 0.000
0.000 3.970 0.000
0.000 0.000 4.378
Os Mn Co
1 1 2
Direct
0.500 0.500 0.289 Os
0.000 0.000 0.474 Mn
0.500 0.000 0.939 Co
0.000 0.500 0.798 Co
```

Summary:
Formation enthalpy at 0 K, kcal/mol of atoms: 3.07
Symmetry: No. 25


A crystal of MgH2N relaxed with PBEsol. Source: the Alexandria database, functional SCAN.

Geometry as POSCAR:
```
MgH2N
1.0
-1.552 -2.550 0.541
1.608 -0.441 2.535
-4.238 4.745 1.698
H Mg N
4 2 2
Direct
0.625 0.375 0.750 H
0.125 0.375 0.750 H
0.625 0.875 0.250 H
0.625 0.375 0.250 H
0.000 0.000 0.000 Mg
0.250 0.750 0.500 Mg
0.500 0.500 0.000 N
0.750 0.250 0.500 N
```

Summary:
Electronic total energy, eV per atom: -4.901
Symmetry: No. 141


A crystal of SbSe2SN2F6 relaxed with PBEsol. Source: the Alexandria database, functional SCAN.

Geometry as POSCAR:
```
SbSe2SN2F6
1.0
-0.373 4.830 -8.549
5.254 -8.597 -3.268
-14.222 -7.349 -3.531
Sb Se S N F
8 16 8 16 48
Direct
0.771 0.197 0.937 Sb
0.740 0.640 0.148 Sb
0.729 0.303 0.437 Sb
0.229 0.803 0.063 Sb
0.271 0.697 0.563 Sb
0.760 0.860 0.648 Sb
0.240 0.140 0.352 Sb
0.260 0.360 0.852 Sb
0.366 0.540 0.298 Se
0.353 0.471 0.117 Se
0.110 0.393 0.129 Se
0.878 0.537 0.690 Se
0.622 0.963 0.190 Se
0.610 0.893 0.371 Se
0.647 0.529 0.883 Se
0.134 0.960 0.798 Se
0.890 0.607 0.871 Se
0.853 0.971 0.383 Se
0.634 0.460 0.702 Se
0.378 0.037 0.810 Se
0.866 0.040 0.202 Se
0.390 0.107 0.629 Se
0.147 0.029 0.617 Se
0.122 0.463 0.310 Se
0.284 0.195 0.112 S
0.716 0.805 0.888 S
0.193 0.740 0.313 S
0.693 0.240 0.187 S
0.307 0.760 0.813 S
0.807 0.260 0.687 S
0.784 0.695 0.388 S
0.216 0.305 0.612 S
0.636 0.730 0.379 N
0.579 0.120 0.181 N
0.659 0.297 0.695 N
0.421 0.880 0.819 N
0.136 0.230 0.121 N
0.079 0.620 0.319 N
0.159 0.797 0.805 N
0.921 0.380 0.681 N
0.397 0.315 0.108 N
0.897 0.815 0.392 N
0.364 0.270 0.621 N
0.603 0.685 0.892 N
0.341 0.703 0.305 N
0.103 0.185 0.608 N
0.841 0.203 0.195 N
0.864 0.770 0.879 N
0.685 0.718 0.717 F
0.413 0.081 0.360 F
0.744 0.443 0.511 F
0.300 0.465 0.758 F
0.880 0.242 0.487 F
0.284 0.842 0.638 F
0.587 0.919 0.640 F
0.848 0.994 0.580 F
0.315 0.282 0.283 F
0.815 0.782 0.217 F
0.087 0.419 0.860 F
0.913 0.581 0.140 F
0.652 0.506 0.080 F
0.223 0.251 0.944 F
0.934 0.802 0.663 F
0.277 0.249 0.444 F
0.066 0.198 0.337 F
0.723 0.751 0.556 F
0.648 0.101 0.862 F
0.080 0.860 0.119 F
0.784 0.342 0.862 F
0.216 0.658 0.138 F
0.420 0.640 0.619 F
0.777 0.749 0.056 F
0.566 0.698 0.163 F
0.348 0.494 0.920 F
0.800 0.965 0.742 F
0.380 0.742 0.013 F
0.200 0.035 0.258 F
0.607 0.199 0.509 F
0.716 0.158 0.362 F
0.148 0.601 0.638 F
0.244 0.943 0.989 F
0.756 0.057 0.011 F
0.580 0.360 0.381 F
0.852 0.399 0.362 F
0.700 0.535 0.242 F
0.352 0.899 0.138 F
0.120 0.758 0.513 F
0.185 0.218 0.783 F
0.107 0.699 0.991 F
0.152 0.006 0.420 F
0.920 0.140 0.881 F
0.620 0.258 0.987 F
0.393 0.801 0.491 F
0.256 0.557 0.489 F
0.434 0.302 0.837 F
0.893 0.301 0.009 F
```

Summary:
ΔE_f (raw), meV/atom: -1273.7
Symmetry: No. 14


A crystal of NbWNF2 relaxed with PBEsol. Source: the Alexandria database, functional SCAN.

Geometry as POSCAR:
```
NbWNF2
1.0
-2.232 1.891 -2.964
-3.342 -0.322 2.311
0.820 3.617 1.690
Nb N W F
1 1 1 2
Direct
0.000 0.000 0.000 Nb
0.500 0.000 0.000 N
0.500 0.500 0.500 W
0.000 0.000 0.500 F
0.000 0.500 0.000 F
```

Summary:
ΔE_f (raw), meV/atom: -74.5
Symmetry: No. 123


A crystal of KSr2Ca relaxed with PBEsol. Source: the Alexandria database, functional SCAN.

Geometry as POSCAR:
```
KSr2Ca
1.0
4.030 0.012 0.000
-1.426 3.769 0.000
0.000 0.000 13.594
Sr Ca K
2 1 1
Direct
0.000 0.000 0.270 Sr
0.000 0.000 0.730 Sr
0.500 0.500 0.500 Ca
0.500 0.500 0.000 K
```

Summary:
Formation enthalpy at 0 K, kcal/mol of atoms: 1.67
Symmetry: No. 65


A crystal of CrIr8 relaxed with PBEsol. Source: the Alexandria database, functional SCAN.

Geometry as POSCAR:
```
CrIr8
1.0
3.801 0.000 0.000
1.900 5.708 0.000
1.900 0.000 5.708
Cr Ir
1 8
Direct
0.000 0.000 0.000 Cr
0.000 0.670 0.330 Ir
0.000 0.330 0.670 Ir
0.330 0.670 0.670 Ir
0.338 0.324 0.000 Ir
0.338 0.000 0.324 Ir
0.670 0.330 0.330 Ir
0.662 0.000 0.676 Ir
0.662 0.676 0.000 Ir
```

Summary:
Formation enthalpy at 0 K, kcal/mol of atoms: -3.23
Symmetry: No. 139


A crystal of SrLa2Cl relaxed with PBEsol. Source: the Alexandria database, functional SCAN.

Geometry as POSCAR:
```
SrLa2Cl
1.0
-2.308 -1.914 -1.923
3.309 0.454 -4.335
2.705 -4.992 4.976
Sr Cl La
1 1 2
Direct
0.000 0.000 0.000 Sr
0.500 0.500 0.000 Cl
0.000 0.000 0.500 La
0.500 0.500 0.500 La
```

Summary:
ΔE_f (raw), meV/atom: -501.6
Symmetry: No. 12


A crystal of MgSc2Cl relaxed with PBEsol. Source: the Alexandria database, functional SCAN.

Geometry as POSCAR:
```
MgSc2Cl
1.0
-0.564 -2.178 -2.458
-2.334 -2.351 0.360
-7.230 4.160 -4.287
Cl Mg Sc
1 1 2
Direct
0.509 0.509 0.474 Cl
0.754 0.754 0.738 Mg
0.997 0.997 0.010 Sc
0.241 0.241 0.277 Sc
```

Summary:
ΔE_f (raw), meV/atom: -696.6
Symmetry: No. 160